Record 1
An optimized crystal structure of PuHg2Pt6, computed with PBE.

Summary:
SG	Fm-3m
formation energy from the elements	179	kJ/mol of formula units

Cell lengths 6.360, 6.360, 6.360 Å; angles 60.00, 60.00, 60.00 degrees
Each line ends with the local moment (μB).
Sites, in units of the cell vectors:
Pt (0.285, 0.285, 0.715)  -0.14
Pt (0.285, 0.715, 0.285)  -0.14
Pt (0.715, 0.285, 0.285)  -0.14
Pt (0.285, 0.715, 0.715)  -0.14
Pt (0.715, 0.715, 0.285)  -0.14
Pt (0.715, 0.285, 0.715)  -0.14
Hg (0.750, 0.750, 0.750)  0.00
Hg (0.250, 0.250, 0.250)  0.00
Pu (0.000, 0.000, 0.000)  3.77



Record 2
An optimized crystal structure of Pu5Hg2Pt2, computed with PBE.

Summary:
SG	Cmce
formation energy from the elements	-311	kJ/mol of formula units

Cell lengths 7.787, 7.753, 8.784 Å; angles 116.19, 90.00, 90.00 degrees
Each line ends with the local moment (μB).
Sites, in units of the cell vectors:
Pu (0.328, 0.705, 0.756)  5.47
Pu (0.672, 0.051, 0.756)  5.47
Pu (0.828, 0.795, 0.244)  5.47
Pu (0.672, 0.295, 0.244)  5.47
Pu (0.828, 0.551, 0.756)  5.47
Pu (0.172, 0.205, 0.756)  5.47
Pu (0.172, 0.449, 0.244)  5.47
Pu (0.328, 0.949, 0.244)  5.47
Pu (0.500, 0.500, 0.000)  5.53
Pu (0.000, 0.000, 0.000)  5.53
Pt (0.628, 0.872, 0.000)  -0.06
Pt (0.372, 0.128, 0.000)  -0.06
Pt (0.872, 0.372, 0.000)  -0.06
Pt (0.128, 0.628, 0.000)  -0.06
Hg (0.500, 0.285, 0.571)  0.07
Hg (0.000, 0.215, 0.429)  0.07
Hg (0.000, 0.785, 0.571)  0.07
Hg (0.500, 0.715, 0.429)  0.07



Record 3
An optimized crystal structure of Pu3HgPt3, computed with PBE.

Summary:
SG	Cmcm
formation energy from the elements	-430	kJ/mol of formula units

Cell lengths 4.390, 5.636, 13.954 Å; angles 90.00, 90.00, 112.92 degrees
Each line ends with the local moment (μB).
Sites, in units of the cell vectors:
Pt (0.284, 0.569, 0.250)  -0.10
Pt (0.111, 0.221, 0.102)  -0.10
Pt (0.889, 0.779, 0.602)  -0.10
Pt (0.889, 0.779, 0.898)  -0.10
Pt (0.111, 0.221, 0.398)  -0.10
Pt (0.716, 0.431, 0.750)  -0.10
Hg (0.500, 0.000, 0.500)  0.04
Hg (0.500, 0.000, 0.000)  0.04
Pu (0.818, 0.636, 0.105)  5.28
Pu (0.182, 0.364, 0.605)  5.28
Pu (0.445, 0.891, 0.750)  5.26
Pu (0.182, 0.364, 0.895)  5.28
Pu (0.555, 0.109, 0.250)  5.26
Pu (0.818, 0.636, 0.395)  5.28



In the order shown, the computed electronic total energy values come out to -5.480 -9.730 -9.410 eV per atom.